Entry 1:
Below is a geometry-optimized BaGaSn structure, with properties calculated at the PBE level.

Geometry as CIF:
```
data_BaGaSn
_space_group_name_H-M_alt 'P 42/m'
_space_group_IT_number 84
_cell_length_a 9.6141
_cell_length_b 9.6141
_cell_length_c 4.7563
_cell_angle_alpha 90.00
_cell_angle_beta 90.00
_cell_angle_gamma 90.00
loop_
_space_group_symop_operation_xyz
'x,y,z'
'-x,-y,-z'
'-y,x,z+1/2'
'y,-x,-z+1/2'
'-x,-y,z'
'x,y,-z'
'y,-x,z+1/2'
'-y,x,-z+1/2'
loop_
_atom_site_label
_atom_site_type_symbol
_atom_site_fract_x
_atom_site_fract_y
_atom_site_fract_z
Ba1 Ba 0.0880 0.7141 0.0000
Ga1 Ga 0.2512 0.3187 0.0000
Sn1 Sn 0.1853 0.4657 0.5000
```



Entry 2:
Below is a geometry-optimized KAsRu2 structure, with properties calculated at the PBE level.

Geometry as CIF:
```
data_KAsRu2
_space_group_name_H-M_alt 'I m m 2'
_space_group_IT_number 44
_cell_length_a 2.7978
_cell_length_b 5.4955
_cell_length_c 10.3095
_cell_angle_alpha 90.00
_cell_angle_beta 90.00
_cell_angle_gamma 90.00
loop_
_space_group_symop_operation_xyz
'x,y,z'
'-x,-y,z'
'-x,y,z'
'x,-y,z'
'x+1/2,y+1/2,z+1/2'
'-x+1/2,-y+1/2,z+1/2'
'-x+1/2,y+1/2,z+1/2'
'x+1/2,-y+1/2,z+1/2'
loop_
_atom_site_label
_atom_site_type_symbol
_atom_site_fract_x
_atom_site_fract_y
_atom_site_fract_z
K1 K 0.0000 0.0000 0.0000
As1 As 0.0000 0.5000 0.2150
Ru1 Ru 0.0000 0.0000 0.5112
Ru2 Ru 0.0000 0.5000 0.8066
```



Entry 3:
# HfZr3 | the Alexandria database | PBE | optimized geometry
data_HfZr3
_space_group_name_H-M_alt 'P m m 2'
_space_group_IT_number 25
_cell_length_a 3.2259
_cell_length_b 5.1412
_cell_length_c 5.5835
_cell_angle_alpha 90.00
_cell_angle_beta 90.00
_cell_angle_gamma 90.00
loop_
_space_group_symop_operation_xyz
'x,y,z'
'-x,-y,z'
'-x,y,z'
'x,-y,z'
loop_
_atom_site_label
_atom_site_type_symbol
_atom_site_fract_x
_atom_site_fract_y
_atom_site_fract_z
Hf1 Hf 0.0000 0.0000 0.0000
Zr1 Zr 0.0000 0.5000 0.3339
Zr2 Zr 0.5000 0.0000 0.5006
Zr3 Zr 0.5000 0.5000 0.8366
# Excess energy over the best structure of this formula in the dataset (meV per atom): 0.6



| no. | energy of formation from the pure elements (eV per formula unit) | total magnetization (μB/f.u.) |
| --- | --- | --- |
| 1 | -0.94 | 0.000 |
| 2 | 2.95 | 1.311 |
| 3 | 0.00 | 0.000 |